# 1
## PrBeMo (PBE-GGA)

Data for a relaxed structure of PrBeMo.

Unit cell a=4.551 b=4.551 c=4.551 alpha=60.00 beta=60.00 gamma=60.00
Fractional coordinates of all 3 atoms:
Pr 0.000 0.000 0.000
Be 0.250 0.250 0.250
Mo 0.750 0.750 0.750

Output
Crystal system: cubic
Final energy in Ry/atom: -0.3491
Space group: F-43m (216)

---

# 2
## Be2Mo3Pt2 (PBE-GGA)

Data for a relaxed structure of Be2Mo3Pt2.

Unit cell a=6.659 b=6.659 c=6.659 alpha=37.18 beta=37.18 gamma=37.18
Fractional coordinates of all 7 atoms:
Mo 0.334 0.334 0.334
Mo 0.626 0.626 0.626
Mo 0.909 0.909 0.909
Be 0.767 0.767 0.767
Pt 0.482 0.482 0.482
Be 0.193 0.193 0.193
Pt 0.063 0.063 0.063

Output
Crystal system: trigonal
Final energy in Ry/atom: -0.5575
Space group: R3m (160)

---

# 3
## BeMo2Pt (PBE-GGA)

Data for a relaxed structure of BeMo2Pt.

Unit cell a=4.330 b=4.330 c=4.330 alpha=60.00 beta=60.00 gamma=60.00
Fractional coordinates of all 4 atoms:
Pt 0.250 0.250 0.250
Mo 0.000 0.000 0.000
Mo 0.750 0.750 0.750
Be 0.500 0.500 0.500

Output
Crystal system: cubic
Final energy in Ry/atom: -0.5755
Space group: F-43m (216)